# 1
A plane-wave DFT calculation with PBE-GGA was carried out for a relaxed structure of PuHIO2.

Values from the calculation:
Electronic total energy (eV/atom): -7.66
Size of the total moment (μB/f.u.): 4.286
Volume (Å³ per atom): 21.8
DOS(E_F) (states/eV/cell): 12.82

Unit cell a=6.388 b=3.605 c=9.601 alpha=90.00 beta=100.25 gamma=90.00
Space group P2_1/m (No. 11)
Asymmetric unit:
Pu  0.203  0.250  0.438 x2
H  0.384  0.750  0.671 x2
I  0.297  0.750  0.159 x2
O  0.010  0.250  0.603 x2
O  0.395  0.750  0.570 x2

---

# 2
A plane-wave DFT calculation with PBE-GGA was carried out for a relaxed structure of CePrRuBr.

Values from the calculation:
Electronic total energy (eV/atom): -6.24
Size of the total moment (μB/f.u.): 0.315
Volume (Å³ per atom): 27.7
DOS(E_F) (states/eV/cell): 8.36

Unit cell a=6.940 b=4.005 c=8.303 alpha=90.00 beta=106.27 gamma=90.00
Space group Cm (No. 8)
Asymmetric unit:
Ce  0.000  0.000  0.000 x2
Pr  0.203  0.000  0.606 x2
Ru  0.114  0.500  0.837 x2
Br  0.436  0.000  0.306 x2

---

# 3
A plane-wave DFT calculation with PBE-GGA was carried out for a relaxed structure of RbFeBr3.

Values from the calculation:
Electronic total energy (eV/atom): -3.70
Size of the total moment (μB/f.u.): 4.000
Volume (Å³ per atom): 51.3
DOS(E_F) (states/eV/cell): 0.00

Unit cell a=3.857 b=8.874 c=14.994 alpha=90.00 beta=90.00 gamma=90.00
Space group Amm2 (No. 38)
Asymmetric unit:
Rb  0.000  0.000  0.000 x2
Fe  0.500  0.000  0.337 x2
Br  0.000  0.189  0.376 x4
Br  0.500  0.000  0.175 x2

---

# 4
A plane-wave DFT calculation with PBE-GGA was carried out for a relaxed structure of Rb2AsRuO6.

Values from the calculation:
Electronic total energy (eV/atom): -5.53
Size of the total moment (μB/f.u.): 2.288
Volume (Å³ per atom): 13.0
DOS(E_F) (states/eV/cell): 18.42

Unit cell a=8.000 b=8.023 c=8.090 alpha=90.00 beta=90.00 gamma=90.00
Space group Fmmm (No. 69)
Asymmetric unit:
Rb  0.250  0.250  0.250 x8
As  0.000  0.000  0.000 x4
Ru  0.000  0.000  0.500 x4
O  0.000  0.000  0.260 x8
O  0.000  0.230  0.000 x8
O  0.246  0.000  0.500 x8